No. 1
VGaSb2C: relaxed, PBE.

Values from the calculation:
Total magnetization   0.93 μB per cell
Uncorrected formation energy   2185 meV/atom
Final energy   -3.738 eV per atom
Space group   P4/mmm, No. 123

Cell lengths 5.1856, 5.1856, 4.7052 Å; angles 90.00, 90.00, 90.00 degrees
Last column: nearest neighbours and their distance in Å.
Sites, in units of the cell vectors:
V  0.0000  0.0000  0.0000  2 Ga 2.35
Ga  0.0000  0.0000  0.5000  2 V 2.35, 4 Sb 2.59
Sb  0.0000  0.5000  0.5000  2 Ga 2.59
Sb  0.5000  0.0000  0.5000  2 Ga 2.59
C  0.5000  0.5000  0.0000  8 Sb 3.50, 4 V 3.67

No. 2
NaHoAgPb: relaxed, PBE.

Values from the calculation:
Total magnetization   0.00 μB per cell
Calculated formation energy   -232.2 meV per atom
Final energy   -3.346 eV per atom
Space group   F-43m, No. 216

Cell lengths 5.2045, 5.2045, 5.2045 Å; angles 60.00, 60.00, 60.00 degrees
Last column: nearest neighbours and their distance in Å.
Sites, in units of the cell vectors:
Na  0.0000  0.0000  0.0000  4 Pb 3.19, 4 Ag 3.19
Ho  0.5000  0.5000  0.5000  4 Pb 3.19, 4 Ag 3.19
Ag  0.2500  0.2500  0.2500  4 Ho 3.19, 4 Na 3.19
Pb  0.7500  0.7500  0.7500  4 Na 3.19, 4 Ho 3.19

No. 3
Ce2ErTaN5: relaxed, PBE.

Values from the calculation:
Total magnetization   2.14 μB per cell
Uncorrected formation energy   -1395 meV/atom
Final energy   -9.162 eV per atom
Space group   Cmc2_1, No. 36

Cell lengths 7.1261, 7.1261, 10.5904 Å; angles 90.00, 90.00, 151.64 degrees
Last column: nearest neighbours and their distance in Å.
Sites, in units of the cell vectors:
Ce  0.1119  0.8881  0.5000  3 N 2.35-2.55
Ce  0.1434  0.8566  0.0824  4 N 2.37-2.50
Ce  0.8566  0.1434  0.5824  4 N 2.37-2.50
Ce  0.8881  0.1119  0.0000  3 N 2.35-2.55
Er  0.2192  0.7808  0.8031  6 N 2.27-2.48
Er  0.7808  0.2192  0.3031  6 N 2.27-2.48
Ta  0.4788  0.5212  0.2713  4 N 1.97-2.01
Ta  0.5212  0.4788  0.7713  4 N 1.97-2.01
N  0.0527  0.9473  0.8554  2 Ta 2.01
N  0.2800  0.7200  0.4689  3 Ce 2.35-2.37, 2 Er 2.48
N  0.3230  0.6770  0.1725  2 Er 2.30, 1 Ta 2.39
N  0.3828  0.6172  0.8250  1 Ta 2.00
N  0.4861  0.5139  0.5909  1 Ta 1.97
N  0.5139  0.4861  0.0909  1 Ta 1.97
N  0.6172  0.3828  0.3250  1 Ta 2.00
N  0.6770  0.3230  0.6725  2 Er 2.30, 1 Ta 2.39
N  0.7200  0.2800  0.9689  3 Ce 2.35-2.37, 2 Er 2.48
N  0.9473  0.0527  0.3554  2 Ta 2.01

Q: The highest final energy belongs to which entry?
A: NaHoAgPb